Density functional theory data (PBE) for a geometry-optimized BaCd2Br structure.

Properties
The final energy is -2.06 eV/atom. As for the energy above the most stable polymorph in this dataset: 12 kJ/mol of formula units. As for the symmetry: C2/m (12). Its total magnetization is 0.000 μB/atom.

extended XYZ file:
```
4
Lattice="3.214 -6.684 0.000 3.214 6.684 0.000 -3.202 0.000 3.246" Properties=species:S:1:pos:R:3 pbc="T T T"
Ba 0.000 0.000 0.000
Cd 0.006 3.342 1.623
Cd 0.006 -3.342 1.623
Br 3.214 0.000 0.000
```


Density functional theory data (PBE) for a geometry-optimized BaCd2Br structure.

Properties
The final energy is -1.95 eV/atom. As for the energy above the most stable polymorph in this dataset: 55 kJ/mol of formula units. As for the symmetry: I-42d (122). Its total magnetization is 0.000 μB/atom.

extended XYZ file:
```
8
Lattice="-4.852 4.852 3.161 4.852 -4.852 3.161 4.852 4.852 -3.161" Properties=species:S:1:pos:R:3 pbc="T T T"
Ba 0.000 0.000 0.000
Ba 0.000 4.852 1.581
Cd 2.426 -2.273 2.371
Cd 2.579 2.426 0.790
Cd 2.426 7.125 -0.790
Cd 2.273 2.426 3.952
Br 4.852 0.000 1.581
Br 0.000 0.000 3.161
```